[1]
Density functional theory data (PBE) for a geometry-optimized CoSb2Rh2 structure.

Structure (POSCAR):
```
CoSb2Rh2
1.0
-2.137 2.137 5.593
2.137 -2.137 5.593
2.137 2.137 -5.593
Co Sb Rh
1 2 2
direct
0.000 0.000 0.000
0.250 0.750 0.500
0.750 0.250 0.500
0.385 0.385 0.000
0.615 0.615 0.000
```

Results
- Distance to the lowest polymorph of the same formula: 419 meV per atom
- E_tot: -5.5384 eV per atom
- Uncorrected formation energy: 0.472 eV/atom

[2]
Density functional theory data (PBE) for a geometry-optimized CoSbRh2 structure.

Structure (POSCAR):
```
CoSbRh2
1.0
4.087 0.000 0.000
0.000 1.469 5.084
0.000 -1.469 5.084
Co Sb Rh
1 1 2
direct
0.000 0.000 0.000
0.500 0.852 0.852
0.000 0.252 0.252
0.500 0.589 0.589
```

Results
- E_tot: -6.4715 eV per atom
- Uncorrected formation energy: 0.011 eV/atom

[3]
Density functional theory data (PBE) for a geometry-optimized CoSbRh2 structure.

Structure (POSCAR):
```
CoSbRh2
1.0
-1.935 1.935 8.819
1.935 -1.935 8.819
1.935 1.935 -8.819
Co Sb Rh
2 2 4
direct
0.000 0.000 0.000
0.750 0.250 0.500
0.250 0.750 0.500
0.500 0.500 0.000
0.098 0.625 0.973
0.375 0.348 0.473
0.652 0.125 0.027
0.875 0.902 0.527
```

Results
- E_tot: -6.2565 eV per atom
- Uncorrected formation energy: 0.226 eV/atom

[4]
Density functional theory data (PBE) for a geometry-optimized CoSb2Rh2 structure.

Structure (POSCAR):
```
CoSb2Rh2
1.0
7.087 0.000 0.000
0.000 7.087 0.000
0.000 0.000 3.516
Co Sb Rh
2 4 4
direct
0.000 0.000 0.000
0.500 0.500 0.000
0.165 0.335 0.500
0.335 0.835 0.500
0.665 0.165 0.500
0.835 0.665 0.500
0.139 0.639 0.000
0.361 0.139 0.000
0.639 0.861 0.000
0.861 0.361 0.000
```

Results
- Distance to the lowest polymorph of the same formula: 0 meV per atom
- E_tot: -5.9570 eV per atom
- Uncorrected formation energy: 0.054 eV/atom